1.
Compound: ScBrF
Source: the Alexandria database
Functional: PBE-GGA
Structure: optimized geometry

Structure (POSCAR):
```
ScBrF
1.0
-1.251 -3.164 -2.257
2.521 -4.448 4.799
-3.619 -1.226 3.725
Sc Br F
2 2 2
Direct
0.499 0.684 0.659
0.501 0.316 0.341
0.498 0.732 0.135
0.502 0.268 0.865
0.001 0.295 0.351
0.999 0.705 0.649
```

## Properties
N(E_F), states/eV/atom: 0.17
Formation energy (no corrections), eV per atom: -2.35
Magnetization, μB per formula unit: 0.279

=====

2.
Compound: Sc2Br2F
Source: the Alexandria database
Functional: PBE-GGA
Structure: optimized geometry

Structure (POSCAR):
```
Sc2Br2F
1.0
-6.687 -3.546 1.339
0.404 -3.368 -6.898
1.651 -2.598 1.365
Sc F Br
4 2 4
Direct
0.351 0.149 0.500
0.649 0.851 0.500
0.851 0.351 0.500
0.149 0.649 0.500
0.000 0.000 0.000
0.500 0.500 0.000
0.854 0.646 0.000
0.646 0.146 0.000
0.146 0.354 0.000
0.354 0.854 0.000
```

## Properties
N(E_F), states/eV/atom: 0.63
Formation energy (no corrections), eV per atom: -1.14
Magnetization, μB per formula unit: 0.000

=====

3.
Compound: ScSeBr2F
Source: the Alexandria database
Functional: PBE-GGA
Structure: optimized geometry

Structure (POSCAR):
```
ScSeBr2F
1.0
5.161 0.000 0.000
0.000 5.161 0.000
0.000 0.000 5.457
F Br Sc Se
1 2 1 1
Direct
0.500 0.500 0.500
0.000 0.500 0.000
0.500 0.000 0.000
0.000 0.000 0.000
0.000 0.000 0.500
```

## Properties
N(E_F), states/eV/atom: 1.12
Formation energy (no corrections), eV per atom: -0.85
Magnetization, μB per formula unit: 2.009